(1)
## NiAg4 (PBE-GGA)

Data for crystalline NiAg4 at its relaxed geometry.

The structure in POSCAR format:
```
NiAg4
1.0
4.7746 0.0000 0.0000
0.0000 4.7746 0.0000
0.0000 0.0000 4.7746
Ni Ag
1 4
direct
0.0000 0.0000 0.0000 Ni
0.0000 0.0000 0.5000 Ag
0.0000 0.5000 0.0000 Ag
0.5000 0.0000 0.0000 Ag
0.5000 0.5000 0.5000 Ag
```

***

(2)
## NiAg4 (PBE-GGA)

Data for crystalline NiAg4 at its relaxed geometry.

The structure in POSCAR format:
```
NiAg4
1.0
3.7035 0.0000 0.0000
0.0000 3.7035 0.0000
0.0000 0.0000 14.0734
Ni Ag
2 8
direct
0.0000 0.0000 0.0000 Ni
0.5000 0.5000 0.5000 Ni
0.0000 0.0000 0.4066 Ag
0.0000 0.0000 0.5934 Ag
0.0000 0.5000 0.2500 Ag
0.0000 0.5000 0.7500 Ag
0.5000 0.0000 0.2500 Ag
0.5000 0.0000 0.7500 Ag
0.5000 0.5000 0.0934 Ag
0.5000 0.5000 0.9066 Ag
```

***

Structures ranked by computed energy, the most stable listed first: (2), (1).

***

(1)
## Ni4Ag3 (PBE-GGA)

Data for crystalline Ni4Ag3 at its relaxed geometry.

The structure in POSCAR format:
```
Ni4Ag3
1.0
2.7484 0.0000 0.0000
0.0000 2.7484 0.0000
0.0000 0.0000 25.8251
Ni Ag
8 6
direct
0.0000 0.0000 0.0754 Ni
0.0000 0.0000 0.3693 Ni
0.0000 0.0000 0.6307 Ni
0.0000 0.0000 0.9246 Ni
0.5000 0.5000 0.1307 Ni
0.5000 0.5000 0.4246 Ni
0.5000 0.5000 0.5754 Ni
0.5000 0.5000 0.8693 Ni
0.0000 0.0000 0.2060 Ag
0.0000 0.0000 0.5000 Ag
0.0000 0.0000 0.7940 Ag
0.5000 0.5000 0.0000 Ag
0.5000 0.5000 0.2940 Ag
0.5000 0.5000 0.7060 Ag
```

***

(2)
## Ni4Ag3 (PBE-GGA)

Data for crystalline Ni4Ag3 at its relaxed geometry.

The structure in POSCAR format:
```
Ni4Ag3
1.0
5.2003 0.0000 0.0000
-2.6002 4.5036 0.0000
0.0000 0.0000 4.5308
Ni Ag
4 3
direct
0.0000 0.0000 0.2452 Ni
0.0000 0.0000 0.7548 Ni
0.3333 0.6667 0.0000 Ni
0.6667 0.3333 0.0000 Ni
0.0000 0.5000 0.5000 Ag
0.5000 0.0000 0.5000 Ag
0.5000 0.5000 0.5000 Ag
```

***

Structures ranked by computed energy, the most stable listed first: (1), (2).